[1]
# LiGaTc

LiGaTc after structural relaxation (PBE-GGA, OQMD).

Computed properties:
- excess energy over the best structure of this formula in the dataset (kJ/mol of formula units) = 0
- total DFT energy (no corrections) (eV/atom) = -5.316

```
LiGaTc
1.0
-0.063 -1.106 2.767
1.116 -2.575 -1.004
9.240 3.395 1.567
Ga Li Tc
2 2 2
Direct
0.000 0.500 0.247 Ga
0.500 0.000 0.753 Ga
0.500 0.000 0.408 Li
0.000 0.500 0.592 Li
0.500 0.000 0.077 Tc
0.000 0.500 0.923 Tc
```

---

[2]
# TbSmPt3

TbSmPt3 after structural relaxation (PBE-GGA, OQMD).

Computed properties:
- ΔH_f (0 K) (eV/f.u.) = -3.9
- total DFT energy (no corrections) (eV/atom) = -6.277

```
TbSmPt3
1.0
-2.779 5.172 -3.929
-1.737 -6.572 1.927
-2.946 2.263 5.063
Pt Sm Tb
6 2 2
Direct
0.185 0.815 0.034 Pt
0.383 0.617 0.250 Pt
0.185 0.815 0.466 Pt
0.815 0.185 0.534 Pt
0.617 0.383 0.750 Pt
0.815 0.185 0.966 Pt
0.630 0.370 0.250 Sm
0.370 0.630 0.750 Sm
0.970 0.030 0.250 Tb
0.030 0.970 0.750 Tb
```

---

[3]
# FeGe3

FeGe3 after structural relaxation (PBE-GGA, OQMD).

Computed properties:
- total DFT energy (no corrections) (eV/atom) = -5.112

```
FeGe3
1.0
4.047 0.000 0.000
0.000 4.047 0.000
0.000 0.000 4.047
Fe Ge
1 3
Direct
0.000 0.000 0.000 Fe
0.500 0.500 0.000 Ge
0.500 0.000 0.500 Ge
0.000 0.500 0.500 Ge
```

---

Please write out number 3 again, unchanged.
# FeGe3

FeGe3 after structural relaxation (PBE-GGA, OQMD).

Computed properties:
- total DFT energy (no corrections) (eV/atom) = -5.112

```
FeGe3
1.0
4.047 0.000 0.000
0.000 4.047 0.000
0.000 0.000 4.047
Fe Ge
1 3
Direct
0.000 0.000 0.000 Fe
0.500 0.500 0.000 Ge
0.500 0.000 0.500 Ge
0.000 0.500 0.500 Ge
```